Entry w
An optimized crystal structure of Gd3Zn, computed with PBE.

## Properties
As for the total moment: 23.3 Bohr magnetons per cell. The symmetry is Fm-3m (225).

Cell: 5.356 5.356 5.356 Å, 60.00 60.00 60.00°
Last column: magnetic moment on the atom in μB.
Sites, in units of the cell vectors:
1 Gd 0.250 0.250 0.250  -7.37
2 Gd 0.000 0.000 0.000  -7.61
3 Gd 0.750 0.750 0.750  -7.37
4 Zn 0.500 0.500 0.500  0.04

Entry x
An optimized crystal structure of Gd3Zn, computed with PBE.

## Properties
As for the total moment: 7.5 Bohr magnetons per cell. The symmetry is P4/mmm (123).

Cell: 4.759 4.806 4.759 Å, 90.00 90.00 90.00°
Last column: magnetic moment on the atom in μB.
Sites, in units of the cell vectors:
1 Gd 0.000 0.500 0.334  7.17
2 Gd 0.500 0.000 0.333  -7.12
3 Gd 0.500 0.500 0.833  7.17
4 Zn 0.000 0.000 0.833  -0.01

Least stable structure: entry w

Entry w
An optimized crystal structure of GdZrZn, computed with PBE.

## Properties
As for the total moment: 7.1 Bohr magnetons per cell. The symmetry is P3m1 (156).

Cell: 3.432 4.885 4.885 Å, 120.00 90.00 90.00°
Last column: magnetic moment on the atom in μB.
Sites, in units of the cell vectors:
1 Gd 0.664 0.667 0.333  7.05
2 Zn 0.176 0.333 0.667  -0.01
3 Zr 0.160 0.000 0.000  -0.06

Entry x
An optimized crystal structure of GdZrZn, computed with PBE.

## Properties
As for the total moment: 7.2 Bohr magnetons per cell. The symmetry is I4mm (107).

Cell: 3.398 3.398 6.466 Å, 105.23 105.23 90.00°
Last column: magnetic moment on the atom in μB.
Sites, in units of the cell vectors:
1 Zr 0.314 0.314 0.629  -0.07
2 Gd 0.007 0.007 0.013  7.10
3 Zn 0.679 0.679 0.358  0.00

Least stable structure: entry w

Entry w
An optimized crystal structure of GdZr2, computed with PBE.

## Properties
As for the total moment: 19.0 Bohr magnetons per cell. The symmetry is Fd-3m (227).

Cell: 6.120 6.120 6.120 Å, 60.00 60.00 60.00°
Last column: magnetic moment on the atom in μB.
Sites, in units of the cell vectors:
1 Gd 0.000 0.000 0.000  7.35
2 Gd 0.250 0.250 0.250  7.35
3 Zr 0.125 0.625 0.625  0.51
4 Zr 0.625 0.625 0.625  0.51
5 Zr 0.625 0.125 0.625  0.51
6 Zr 0.625 0.625 0.125  0.51

Entry x
An optimized crystal structure of GdZr2, computed with PBE.

## Properties
As for the total moment: 7.2 Bohr magnetons per cell. The symmetry is I4/mmm (139).

Cell: 3.229 3.229 7.723 Å, 102.07 102.07 90.00°
Last column: magnetic moment on the atom in μB.
Sites, in units of the cell vectors:
1 Zr 0.324 0.324 0.648  -0.04
2 Zr 0.676 0.676 0.352  -0.04
3 Gd 0.000 0.000 0.000  7.11

Least stable structure: entry w

Entry w
An optimized crystal structure of Gd3Zr, computed with PBE.

## Properties
As for the total moment: 22.5 Bohr magnetons per cell. The symmetry is Pmm2 (25).

Cell: 3.492 5.564 6.129 Å, 90.00 90.00 90.00°
Last column: magnetic moment on the atom in μB.
Sites, in units of the cell vectors:
1 Gd 0.000 0.500 0.984  7.28
2 Gd 0.500 0.500 0.508  7.20
3 Gd 0.500 0.000 0.170  7.21
4 Zr 0.000 0.000 0.671  -0.08

Entry x
An optimized crystal structure of Gd3Zr, computed with PBE.

## Properties
As for the total moment: 21.0 Bohr magnetons per cell. The symmetry is Immm (71).

Cell: 4.921 4.901 5.971 Å, 114.23 114.34 90.00°
Last column: magnetic moment on the atom in μB.
Sites, in units of the cell vectors:
1 Gd 0.750 0.167 0.500  7.07
2 Gd 0.250 0.666 0.500  7.07
3 Gd 0.500 0.417 0.000  7.11
4 Zr 0.000 0.917 0.000  -0.46

Entry y
An optimized crystal structure of Gd3Zr, computed with PBE.

## Properties
As for the total moment: 9.8 Bohr magnetons per cell. The symmetry is Fm-3m (225).

Cell: 5.528 5.528 5.528 Å, 60.00 60.00 60.00°
Last column: magnetic moment on the atom in μB.
Sites, in units of the cell vectors:
1 Gd 0.000 0.000 0.000  -6.97
2 Gd 0.250 0.250 0.250  7.33
3 Gd 0.750 0.750 0.750  7.33
4 Zr 0.500 0.500 0.500  0.87

Least stable structure: entry y

Entry w
An optimized crystal structure of Hf2Ge2H, computed with PBE.

## Properties
As for the total moment: 0.0 Bohr magnetons per cell. The symmetry is P4/mbm (127).

Cell: 6.489 6.489 4.029 Å, 90.00 90.00 90.00°
Sites, in units of the cell vectors:
1 Ge 0.134 0.634 0.500
2 Ge 0.866 0.366 0.500
3 Ge 0.366 0.134 0.500
4 Ge 0.634 0.866 0.500
5 H 0.500 0.500 0.000
6 H 0.000 0.000 0.000
7 Hf 0.679 0.179 0.000
8 Hf 0.179 0.321 0.000
9 Hf 0.321 0.821 0.000
10 Hf 0.821 0.679 0.000

Entry x
An optimized crystal structure of Hf2Ge2H, computed with PBE.

## Properties
As for the total moment: 0.0 Bohr magnetons per cell. The symmetry is P4/mbm (127).

Cell: 6.556 6.556 3.981 Å, 90.00 90.00 90.00°
Sites, in units of the cell vectors:
1 Hf 0.178 0.678 0.500
2 Hf 0.822 0.322 0.500
3 Hf 0.678 0.822 0.500
4 Hf 0.322 0.178 0.500
5 Ge 0.367 0.867 0.000
6 Ge 0.867 0.633 0.000
7 Ge 0.133 0.367 0.000
8 Ge 0.633 0.133 0.000
9 H 0.000 0.000 0.000
10 H 0.500 0.500 0.000

Least stable structure: entry x

Entry w
An optimized crystal structure of Hf2Ge2H, computed with PBE.

## Properties
As for the total moment: 0.8 Bohr magnetons per cell. The symmetry is I4/mmm (139).

Cell: 3.545 3.545 7.677 Å, 76.65 76.65 90.00°
Last column: magnetic moment on the atom in μB.
Sites, in units of the cell vectors:
1 Hf 0.400 0.400 0.201  0.24
2 Hf 0.600 0.600 0.799  0.24
3 Ge 0.750 0.250 0.500  0.01
4 Ge 0.250 0.750 0.500  0.01
5 H 0.000 0.000 0.000  -0.01

Entry x
An optimized crystal structure of Hf2Ge2H, computed with PBE.

## Properties
As for the total moment: 0.0 Bohr magnetons per cell. The symmetry is Cmc2_1 (36).

Cell: 3.850 6.721 6.861 Å, 90.00 106.29 90.00°
Sites, in units of the cell vectors:
1 Ge 0.798 0.440 0.597
2 Ge 0.202 0.940 0.403
3 Ge 0.947 0.682 0.895
4 Ge 0.053 0.182 0.105
5 H 0.611 0.600 0.222
6 H 0.389 0.100 0.778
7 Hf 0.157 0.536 0.314
8 Hf 0.445 0.377 0.891
9 Hf 0.843 0.036 0.686
10 Hf 0.555 0.877 0.109

Least stable structure: entry w